[1]
## CaTe2P (GGA-PBE)

Data for a geometry-optimized CaTe2P structure.

Cell and atoms, written as POSCAR:
```
CaTe2P
1.0
6.2267 0.0067 0.0000
3.1358 5.3795 0.0000
-4.6813 -2.6931 3.0992
Te P Ca
2 1 1
Cartesian
4.6812 2.6931 0.0000 Te
0.0000 0.0000 0.0000 Te
3.1134 0.0034 1.5496 P
1.5679 2.6897 1.5496 Ca
```

Values from the calculation:
As for the formation energy from raw total energies: -0.236 eV per atom. The crystal system is tetragonal. The calculation puts the density of states at the Fermi level at 2.9 states/eV/f.u. The value obtained for the total magnetic moment is 0.00 μB/f.u.

[2]
## Li4Tb3PmTe8 (GGA-PBE)

Data for a geometry-optimized Li4Tb3PmTe8 structure.

Cell and atoms, written as POSCAR:
```
Li4Tb3PmTe8
1.0
8.7565 0.0000 0.0000
0.0000 8.6979 -0.0522
-4.3783 -4.3751 6.1922
Pm Te Li Tb
1 8 4 3
Cartesian
0.0000 4.3490 -0.0261 Pm
2.1598 -2.2547 6.1589 Te
0.0000 -0.0431 3.0591 Te
6.5381 6.5775 -0.0189 Te
-2.1598 -2.2547 6.1589 Te
4.3783 -0.0379 3.0216 Te
0.0000 4.3607 3.1184 Te
4.3783 4.3659 3.0809 Te
2.2184 6.5775 -0.0189 Te
2.1891 -2.1876 3.0961 Li
0.0000 0.0000 0.0000 Li
4.3783 0.0000 0.0000 Li
-2.1891 -2.1876 3.0961 Li
2.1891 2.1614 3.0700 Tb
-2.1891 2.1614 3.0700 Tb
4.3783 4.3490 -0.0261 Tb
```

Values from the calculation:
As for the formation energy from raw total energies: -1.296 eV per atom. The crystal system is trigonal. The value obtained for the total magnetic moment is 0.00 μB/f.u.

[3]
## BaMg2CuS4 (GGA-PBE)

Data for a geometry-optimized BaMg2CuS4 structure.

Cell and atoms, written as POSCAR:
```
BaMg2CuS4
1.0
3.8598 0.0000 0.0000
-1.9299 6.5962 0.0000
0.0000 0.0000 13.2177
S Cu Mg Ba
8 2 4 2
Cartesian
0.0000 0.0000 6.6088 S
1.9299 3.2184 8.0237 S
1.9299 0.9040 3.3044 S
0.0000 5.6922 9.9133 S
1.9299 3.2184 11.8029 S
0.0000 3.3778 5.1940 S
0.0000 0.0000 0.0000 S
0.0000 3.3778 1.4148 S
0.0000 2.0871 3.3044 Cu
1.9299 4.5091 9.9133 Cu
1.9299 1.6538 5.9248 Mg
1.9299 1.6538 0.6840 Mg
0.0000 4.9425 7.2929 Mg
0.0000 4.9425 12.5337 Mg
0.0000 1.5439 9.9133 Ba
1.9299 5.0523 3.3044 Ba
```

Values from the calculation:
As for the formation energy from raw total energies: -1.190 eV per atom. The crystal system is orthorhombic. The calculation puts the density of states at the Fermi level at 4.6 states/eV/f.u. The value obtained for the total magnetic moment is 0.00 μB/f.u.